EuHoAlCd: relaxed, PBE.

Cell lengths 5.3137, 5.3137, 5.3137 Å; angles 60.00, 60.00, 60.00 degrees
Each line ends with the local moment (μB).
Fractional positions:
Cd  0.7500  0.7500  0.7500  0.02
Al  0.2500  0.2500  0.2500  -0.01
Eu  0.5000  0.5000  0.5000  6.84
Ho  0.0000  0.0000  0.0000  0.11

Computed properties:
For the energy of formation, the calculation gives -28 kJ/mol of atoms. Its crystal system is cubic. The calculation puts the total magnetization at 1.829 μB/atom. As for the density of states at the Fermi level: 1.74 states/eV per atom. As for the final energy: -5.17 eV per atom.

---

NpTaV2: relaxed, PBE.

Cell lengths 3.1215, 4.6059, 4.6059 Å; angles 90.00, 90.00, 90.00 degrees
Each line ends with the local moment (μB).
Fractional positions:
V  0.0000  0.5000  0.0000  -0.07
V  0.0000  0.0000  0.5000  -0.07
Np  0.5000  0.5000  0.5000  2.90
Ta  0.5000  0.0000  0.0000  -0.01

Computed properties:
For the energy of formation, the calculation gives 28 kJ/mol of atoms. Its crystal system is tetragonal. The calculation puts the total magnetization at 0.716 μB/atom. As for the density of states at the Fermi level: 2.00 states/eV per atom. As for the final energy: -10.47 eV per atom. For the polymorph energy (0 for the lowest one), the calculation gives 0.07 eV/f.u.

---

Pr5NdTh2: relaxed, PBE.

Cell lengths 3.5990, 11.5214, 9.1066 Å; angles 129.24, 101.40, 90.00 degrees
Fractional positions:
Pr  0.3692  0.1330  0.7384
Pr  0.3692  0.6053  0.7384
Pr  0.0000  0.5000  0.0000
Pr  0.6308  0.3947  0.2616
Pr  0.6308  0.8670  0.2616
Nd  0.0000  0.0000  0.0000
Th  0.7420  0.2420  0.4841
Th  0.2580  0.7580  0.5159

Computed properties:
For the energy of formation, the calculation gives 10 kJ/mol of atoms. Its crystal system is orthorhombic. The calculation puts the total magnetization at 0.000 μB/atom. As for the density of states at the Fermi level: 1.53 states/eV per atom. As for the final energy: -5.33 eV per atom.